CsCePdS3 (PBE, optimized geometry); raw total energy = -32.3 eV per formula unit; M_tot = 0.04 μB/f.u.; volume = 351 Å³/cell
1.0
4.1687 0.0000 0.0000
0.0000 9.1868 0.4558
0.0000 -3.9525 8.9799
Cs Ce Pd S
2 2 2 6
Direct
0.7500 0.7867 0.7507 Cs
0.2500 0.2133 0.2493 Cs
0.7500 0.3151 0.8443 Ce
0.2500 0.6849 0.1557 Ce
0.2500 0.0896 0.5846 Pd
0.7500 0.9104 0.4154 Pd
0.2500 0.1328 0.8602 S
0.7500 0.1971 0.5480 S
0.7500 0.8672 0.1398 S
0.7500 0.4765 0.1460 S
0.2500 0.5235 0.8540 S
0.2500 0.8029 0.4520 S

***

Cs3Ce2PdS6 (PBE, optimized geometry); raw total energy = -60.4 eV per formula unit; M_tot = 1.08 μB/f.u.; volume = 362 Å³/cell
1.0
7.0212 0.3620 -0.1072
-3.1954 6.2624 -0.1072
-1.4024 -2.4282 8.0894
S Cs Ce Pd
6 3 2 1
Direct
0.3654 0.0661 0.1606 S
0.6346 0.9339 0.8394 S
0.6869 0.6869 0.2125 S
0.0661 0.3654 0.1606 S
0.9339 0.6346 0.8394 S
0.3131 0.3131 0.7875 S
0.5000 0.5000 0.5000 Cs
0.8300 0.1700 0.5000 Cs
0.1700 0.8300 0.5000 Cs
0.6687 0.3313 0.0000 Ce
0.3313 0.6687 0.0000 Ce
0.0000 0.0000 0.0000 Pd

***

Cs2Ce2PdS6 (PBE, optimized geometry); raw total energy = -57.9 eV per formula unit; M_tot = 0.17 μB/f.u.; volume = 339 Å³/cell
1.0
6.8802 -0.0077 0.0896
-3.4073 5.9773 0.0896
-1.2036 -2.0688 8.1945
S Cs Ce Pd
6 2 2 1
Direct
0.2444 0.2444 0.3414 S
0.9347 0.6012 0.3175 S
0.0653 0.3988 0.6825 S
0.6012 0.9347 0.3175 S
0.7556 0.7556 0.6586 S
0.3988 0.0653 0.6825 S
0.8382 0.1618 0.0000 Cs
0.1618 0.8382 0.0000 Cs
0.3296 0.6704 0.5000 Ce
0.6704 0.3296 0.5000 Ce
0.0000 0.0000 0.5000 Pd

***

Cs4Ce3PdSe8 (PBE, optimized geometry); raw total energy = -76.2 eV per formula unit; M_tot = 2.02 μB/f.u.; volume = 549 Å³/cell
1.0
8.4297 0.0000 0.0000
0.0000 9.6496 0.6713
-4.2149 -4.3386 6.4467
Se Cs Pd Ce
8 4 1 3
Direct
0.2759 0.3106 0.5519 Se
0.7241 0.6894 0.4481 Se
0.2481 0.3355 0.0499 Se
0.7519 0.6645 0.9501 Se
0.7384 0.2906 0.4768 Se
0.1982 0.6645 0.9501 Se
0.8018 0.3355 0.0499 Se
0.2616 0.7094 0.5232 Se
0.0000 0.0000 0.0000 Cs
0.5000 0.0000 0.5000 Cs
0.5000 0.0000 0.0000 Cs
0.0000 0.0000 0.5000 Cs
0.0000 0.5000 0.0000 Pd
0.5000 0.5000 0.5000 Ce
0.0000 0.5000 0.5000 Ce
0.5000 0.5000 0.0000 Ce

***

Cs2CePd2Se4 (PBE, optimized geometry); raw total energy = -41.6 eV per formula unit; M_tot = 0.00 μB/f.u.; volume = 269 Å³/cell
1.0
-1.8041 2.3757 3.0991
-6.1736 -3.0182 -4.2653
2.1227 -5.8159 5.6939
Cs Se Ce Pd
2 4 1 2
Direct
0.8638 0.7276 0.4289 Cs
0.1362 0.2724 0.5711 Cs
0.4842 0.9685 0.2201 Se
0.8067 0.6134 0.8414 Se
0.1933 0.3866 0.1586 Se
0.5158 0.0315 0.7799 Se
0.0000 0.0000 0.0000 Ce
0.3126 0.6252 0.0006 Pd
0.6874 0.3748 0.9994 Pd

***

CsCePdSe2 (PBE, optimized geometry); raw total energy = -25.0 eV per formula unit; M_tot = 0.95 μB/f.u.; volume = 342 Å³/cell
1.0
-2.6622 -4.0630 -0.5236
2.2969 -2.5432 8.0558
-6.7546 4.2141 1.6432
Pd Cs Se Ce
2 2 4 2
Direct
0.0000 0.0000 0.0000 Pd
0.0000 0.0000 0.5000 Pd
0.8140 0.5000 0.2500 Cs
0.1860 0.5000 0.7500 Cs
0.3125 0.7742 0.4641 Se
0.3125 0.2258 0.0359 Se
0.6874 0.7742 0.9641 Se
0.6874 0.2258 0.5359 Se
0.4768 0.0000 0.2500 Ce
0.5232 0.0000 0.7500 Ce

***

CsCe2PdSe4 (PBE, optimized geometry); raw total energy = -43.8 eV per formula unit; M_tot = 1.03 μB/f.u.; volume = 469 Å³/cell
1.0
4.3029 0.0000 0.0000
-2.1515 7.4433 0.0000
0.0000 0.0000 14.6520
Ce Se Cs Pd
4 8 2 2
Direct
0.3665 0.7330 0.9337 Ce
0.3665 0.7330 0.5663 Ce
0.6335 0.2670 0.4337 Ce
0.6335 0.2670 0.0663 Ce
0.0000 0.0000 0.5000 Se
0.2593 0.5185 0.1038 Se
0.4296 0.8592 0.7500 Se
0.2593 0.5185 0.3962 Se
0.7407 0.4815 0.6038 Se
0.0000 0.0000 0.0000 Se
0.5704 0.1408 0.2500 Se
0.7407 0.4815 0.8962 Se
0.8892 0.7785 0.2500 Cs
0.1108 0.2215 0.7500 Cs
0.1623 0.3246 0.2500 Pd
0.8377 0.6754 0.7500 Pd

***

Cs3CePm3S8 (PBE, optimized geometry); raw total energy = -83.2 eV per formula unit; M_tot = 0.00 μB/f.u.; volume = 494 Å³/cell
1.0
-5.2199 0.4276 -6.4952
5.3216 -6.3940 0.6616
-7.4174 -0.1087 5.9537
S Cs Pm Ce
8 3 3 1
Direct
0.2214 0.4428 0.6782 S
0.2214 0.9570 0.6782 S
0.2644 0.0430 0.3218 S
0.7279 0.4559 0.6837 S
0.7786 0.0430 0.3218 S
0.7786 0.5572 0.3218 S
0.7356 0.9570 0.6782 S
0.2721 0.5441 0.3163 S
0.5000 0.5000 0.0000 Cs
0.0000 0.0000 0.0000 Cs
0.0000 0.5000 0.0000 Cs
0.5000 0.5000 0.5000 Pm
0.5000 0.0000 0.5000 Pm
0.0000 0.5000 0.5000 Pm
0.0000 0.0000 0.5000 Ce

***

Cs2CePmS4 (PBE, optimized geometry); raw total energy = -43.2 eV per formula unit; M_tot = 1.00 μB/f.u.; volume = 252 Å³/cell
1.0
4.2498 0.0000 0.0000
0.0000 7.3541 0.1239
0.0000 -2.5857 8.0293
Cs S Pm Ce
2 4 1 1
Direct
0.5000 0.0000 0.5000 Cs
0.0000 0.5000 0.5000 Cs
0.0000 0.7296 0.1850 S
0.5000 0.7730 0.8148 S
0.5000 0.2270 0.1852 S
0.0000 0.2704 0.8150 S
0.0000 0.0000 0.0000 Pm
0.5000 0.5000 0.0000 Ce

***

Cs3Ce2PmSe6 (PBE, optimized geometry); raw total energy = -60.3 eV per formula unit; M_tot = 2.02 μB/f.u.; volume = 425 Å³/cell
1.0
7.6551 -0.0009 0.0004
-3.8265 6.6301 0.0004
-1.2765 -2.2102 8.3774
Cs Se Pm Ce
3 6 1 2
Direct
0.8335 0.1665 0.5000 Cs
0.5000 0.5000 0.5000 Cs
0.1665 0.8335 0.5000 Cs
0.9370 0.6056 0.8110 Se
0.7316 0.7316 0.1890 Se
0.3944 0.0630 0.1890 Se
0.2684 0.2684 0.8110 Se
0.0630 0.3944 0.1890 Se
0.6056 0.9370 0.8110 Se
0.0000 0.0000 0.0000 Pm
0.3333 0.6667 0.0000 Ce
0.6667 0.3333 0.0000 Ce

***

Cs2CePm2Se6 (PBE, optimized geometry); raw total energy = -57.0 eV per formula unit; M_tot = 0.00 μB/f.u.; volume = 411 Å³/cell
1.0
-5.2723 5.2299 -0.3444
0.5506 -5.0645 -5.4144
-3.7758 -5.1942 6.2101
Cs Pm Ce Se
2 2 1 6
Direct
0.1689 0.8311 0.0000 Cs
0.8311 0.1689 0.0000 Cs
0.6665 0.3335 0.5000 Pm
0.3335 0.6665 0.5000 Pm
0.0000 0.0000 0.5000 Ce
0.3877 0.0618 0.6839 Se
0.7382 0.7382 0.6835 Se
0.9382 0.6123 0.3161 Se
0.6123 0.9382 0.3161 Se
0.0618 0.3877 0.6839 Se
0.2618 0.2618 0.3165 Se

***

Cs3CePm2Te6 (PBE, optimized geometry); raw total energy = -53.5 eV per formula unit; M_tot = 1.02 μB/f.u.; volume = 508 Å³/cell
1.0
8.1027 -0.0010 0.0004
-4.0503 7.0178 0.0004
-1.3512 -2.3395 8.9359
Ce Cs Te Pm
1 3 6 2
Direct
0.0000 0.0000 0.0000 Ce
0.5000 0.5000 0.5000 Cs
0.1665 0.8335 0.5000 Cs
0.8335 0.1665 0.5000 Cs
0.4007 0.0646 0.1938 Te
0.0646 0.4007 0.1938 Te
0.7285 0.7285 0.1938 Te
0.2715 0.2715 0.8062 Te
0.9354 0.5993 0.8062 Te
0.5993 0.9354 0.8062 Te
0.6667 0.3333 0.0000 Pm
0.3333 0.6667 0.0000 Pm